A geometry-optimized MnCrTcGe structure. Source: the Alexandria database, functional GGA-PBE.

- Total magnetic moment: 0.00 μB per cell
- Calculated density: 8.3 g cm⁻³
- Uncorrected energy: -0.307 Ha/atom
- ΔE_f: 9.0 kJ/mol of atoms

The structure in CIF format:
```
data_MnCrTcGe
_symmetry_space_group_name_H-M 'R 3 m'
_symmetry_Int_Tables_number 160
_symmetry_space_group_name_Hall 'R 3 -2"'
_cell_length_a 4.0033
_cell_length_b 4.0033
_cell_length_c 11.9858
_cell_angle_alpha 90.00
_cell_angle_beta 90.00
_cell_angle_gamma 120.00
loop_
_atom_site_label
_atom_site_type_symbol
_atom_site_fract_x
_atom_site_fract_y
_atom_site_fract_z
Mn1 Mn 0.0000 0.0000 0.0000
Cr1 Cr 0.0000 0.0000 0.6243
Tc1 Tc 0.0000 0.0000 0.1982
Ge1 Ge 0.0000 0.0000 0.4191
```



A geometry-optimized ThMnCrGe3 structure. Source: the Alexandria database, functional GGA-PBE.

- Total magnetic moment: 11.78 μB per cell
- Calculated density: 8.0 g cm⁻³
- Uncorrected energy: -0.248 Ha/atom
- ΔE_f: -7.8 kJ/mol of atoms

The structure in CIF format:
```
data_ThMnCrGe3
_symmetry_space_group_name_H-M 'C m c m'
_symmetry_Int_Tables_number 63
_symmetry_space_group_name_Hall '-C 2c 2'
_cell_length_a 6.924
_cell_length_b 10.586
_cell_length_c 6.295
_cell_angle_alpha 90.00
_cell_angle_beta 90.00
_cell_angle_gamma 90.00
loop_
_atom_site_label
_atom_site_type_symbol
_atom_site_fract_x
_atom_site_fract_y
_atom_site_fract_z
Th1 Th 0.000 0.249 0.250
Mn1 Mn 0.000 0.467 0.750
Cr1 Cr 0.000 0.033 0.750
Ge1 Ge 0.000 0.250 0.750
Ge2 Ge 0.248 0.500 0.000
```



A geometry-optimized ThMnCrGe2 structure. Source: the Alexandria database, functional GGA-PBE.

- Total magnetic moment: 7.80 μB per cell
- Calculated density: 8.9 g cm⁻³
- Uncorrected energy: -0.275 Ha/atom
- ΔE_f: -37.4 kJ/mol of atoms

The structure in CIF format:
```
data_ThMnCrGe2
_symmetry_space_group_name_H-M 'I -4 m 2'
_symmetry_Int_Tables_number 119
_symmetry_space_group_name_Hall 'I -4 -2'
_cell_length_a 4.093
_cell_length_b 4.093
_cell_length_c 10.734
_cell_angle_alpha 90.00
_cell_angle_beta 90.00
_cell_angle_gamma 90.00
loop_
_atom_site_label
_atom_site_type_symbol
_atom_site_fract_x
_atom_site_fract_y
_atom_site_fract_z
Th1 Th 0.000 0.000 0.000
Mn1 Mn 0.000 0.500 0.750
Cr1 Cr 0.000 0.500 0.250
Ge1 Ge 0.000 0.000 0.376
```



A geometry-optimized UMnCrGe structure. Source: the Alexandria database, functional GGA-PBE.

- Total magnetic moment: 9.39 μB per cell
- Calculated density: 11.6 g cm⁻³
- Uncorrected energy: -0.316 Ha/atom
- ΔE_f: 6.8 kJ/mol of atoms

The structure in CIF format:
```
data_UMnCrGe
_symmetry_space_group_name_H-M 'F -4 3 m'
_symmetry_Int_Tables_number 216
_symmetry_space_group_name_Hall 'F -4 2 3'
_cell_length_a 6.210
_cell_length_b 6.210
_cell_length_c 6.210
_cell_angle_alpha 90.00
_cell_angle_beta 90.00
_cell_angle_gamma 90.00
loop_
_atom_site_label
_atom_site_type_symbol
_atom_site_fract_x
_atom_site_fract_y
_atom_site_fract_z
U1 U 0.000 0.000 0.000
Mn1 Mn 0.250 0.250 0.250
Cr1 Cr 0.250 0.250 0.750
Ge1 Ge 0.000 0.000 0.500
```



A geometry-optimized MnZnCrGe structure. Source: the Alexandria database, functional GGA-PBE.

- Total magnetic moment: 18.24 μB per cell
- Calculated density: 7.7 g cm⁻³
- Uncorrected energy: -0.222 Ha/atom
- ΔE_f: 11.3 kJ/mol of atoms

The structure in CIF format:
```
data_MnZnCrGe
_symmetry_space_group_name_H-M 'F -4 3 m'
_symmetry_Int_Tables_number 216
_symmetry_space_group_name_Hall 'F -4 2 3'
_cell_length_a 5.960
_cell_length_b 5.960
_cell_length_c 5.960
_cell_angle_alpha 90.00
_cell_angle_beta 90.00
_cell_angle_gamma 90.00
loop_
_atom_site_label
_atom_site_type_symbol
_atom_site_fract_x
_atom_site_fract_y
_atom_site_fract_z
Mn1 Mn 0.000 0.000 0.000
Zn1 Zn 0.250 0.250 0.250
Cr1 Cr 0.000 0.000 0.500
Ge1 Ge 0.250 0.250 0.750
```



A geometry-optimized CrGe2Mo2 structure. Source: the Alexandria database, functional GGA-PBE.

- Total magnetic moment: 0.00 μB per cell
- Calculated density: 8.7 g cm⁻³
- Uncorrected energy: -0.292 Ha/atom
- ΔE_f: 14.7 kJ/mol of atoms

The structure in CIF format:
```
data_CrGe2Mo2
_symmetry_space_group_name_H-M 'P 4/m b m'
_symmetry_Int_Tables_number 127
_symmetry_space_group_name_Hall '-P 4 2ab'
_cell_length_a 6.556
_cell_length_b 6.556
_cell_length_c 3.468
_cell_angle_alpha 90.00
_cell_angle_beta 90.00
_cell_angle_gamma 90.00
loop_
_atom_site_label
_atom_site_type_symbol
_atom_site_fract_x
_atom_site_fract_y
_atom_site_fract_z
Cr1 Cr 0.000 0.000 0.000
Ge1 Ge 0.142 0.358 0.000
Mo1 Mo 0.160 0.660 0.500
```



A geometry-optimized Cr3GeMo structure. Source: the Alexandria database, functional GGA-PBE.

- Energy relative to the lowest polymorph listed for this composition: 0.000 eV per formula unit
- Total magnetic moment: 5.94 μB per cell
- Calculated density: 6.0 g cm⁻³
- Uncorrected energy: -0.278 Ha/atom
- ΔE_f: 125.7 kJ/mol of atoms

The structure in CIF format:
```
data_Cr3GeMo
_symmetry_space_group_name_H-M 'P m -3 m'
_symmetry_Int_Tables_number 221
_symmetry_space_group_name_Hall '-P 4 2 3'
_cell_length_a 4.482
_cell_length_b 4.482
_cell_length_c 4.482
_cell_angle_alpha 90.00
_cell_angle_beta 90.00
_cell_angle_gamma 90.00
loop_
_atom_site_label
_atom_site_type_symbol
_atom_site_fract_x
_atom_site_fract_y
_atom_site_fract_z
Cr1 Cr 0.000 0.000 0.500
Ge1 Ge 0.000 0.000 0.000
Mo1 Mo 0.500 0.500 0.500
```



A geometry-optimized CrGeMo2 structure. Source: the Alexandria database, functional GGA-PBE.

- Total magnetic moment: 0.00 μB per cell
- Calculated density: 8.3 g cm⁻³
- Uncorrected energy: -0.306 Ha/atom
- ΔE_f: 61.9 kJ/mol of atoms

The structure in CIF format:
```
data_CrGeMo2
_symmetry_space_group_name_H-M 'I -4 2 d'
_symmetry_Int_Tables_number 122
_symmetry_space_group_name_Hall 'I -4 2bw'
_cell_length_a 6.935
_cell_length_b 6.935
_cell_length_c 5.290
_cell_angle_alpha 90.00
_cell_angle_beta 90.00
_cell_angle_gamma 90.00
loop_
_atom_site_label
_atom_site_type_symbol
_atom_site_fract_x
_atom_site_fract_y
_atom_site_fract_z
Cr1 Cr 0.000 0.000 0.000
Ge1 Ge 0.000 0.000 0.500
Mo1 Mo 0.213 0.250 0.125
```



A geometry-optimized Cr3GeMo structure. Source: the Alexandria database, functional GGA-PBE.

- Energy relative to the lowest polymorph listed for this composition: 0.642 eV per formula unit
- Total magnetic moment: 8.08 μB per cell
- Calculated density: 5.3 g cm⁻³
- Uncorrected energy: -0.273 Ha/atom
- ΔE_f: 138.1 kJ/mol of atoms

The structure in CIF format:
```
data_Cr3GeMo
_symmetry_space_group_name_H-M 'P m -3 m'
_symmetry_Int_Tables_number 221
_symmetry_space_group_name_Hall '-P 4 2 3'
_cell_length_a 4.657
_cell_length_b 4.657
_cell_length_c 4.657
_cell_angle_alpha 90.00
_cell_angle_beta 90.00
_cell_angle_gamma 90.00
loop_
_atom_site_label
_atom_site_type_symbol
_atom_site_fract_x
_atom_site_fract_y
_atom_site_fract_z
Cr1 Cr 0.000 0.000 0.500
Ge1 Ge 0.500 0.500 0.500
Mo1 Mo 0.000 0.000 0.000
```



A geometry-optimized CrGeMoOs2 structure. Source: the Alexandria database, functional GGA-PBE.

- Total magnetic moment: 0.00 μB per cell
- Calculated density: 11.8 g cm⁻³
- Uncorrected energy: -0.292 Ha/atom
- ΔE_f: 151.7 kJ/mol of atoms

The structure in CIF format:
```
data_CrGeMoOs2
_symmetry_space_group_name_H-M 'P 4/m m m'
_symmetry_Int_Tables_number 123
_symmetry_space_group_name_Hall '-P 4 2'
_cell_length_a 4.434
_cell_length_b 4.434
_cell_length_c 4.317
_cell_angle_alpha 90.00
_cell_angle_beta 90.00
_cell_angle_gamma 90.00
loop_
_atom_site_label
_atom_site_type_symbol
_atom_site_fract_x
_atom_site_fract_y
_atom_site_fract_z
Cr1 Cr 0.000 0.000 0.000
Ge1 Ge 0.000 0.000 0.500
Mo1 Mo 0.500 0.500 0.000
Os1 Os 0.000 0.500 0.500
```



A geometry-optimized CrGeMoPt structure. Source: the Alexandria database, functional GGA-PBE.

- Total magnetic moment: 8.14 μB per cell
- Calculated density: 11.8 g cm⁻³
- Uncorrected energy: -0.289 Ha/atom
- ΔE_f: -8.5 kJ/mol of atoms

The structure in CIF format:
```
data_CrGeMoPt
_symmetry_space_group_name_H-M 'F -4 3 m'
_symmetry_Int_Tables_number 216
_symmetry_space_group_name_Hall 'F -4 2 3'
_cell_length_a 6.170
_cell_length_b 6.170
_cell_length_c 6.170
_cell_angle_alpha 90.00
_cell_angle_beta 90.00
_cell_angle_gamma 90.00
loop_
_atom_site_label
_atom_site_type_symbol
_atom_site_fract_x
_atom_site_fract_y
_atom_site_fract_z
Cr1 Cr 0.000 0.000 0.000
Ge1 Ge 0.000 0.000 0.500
Mo1 Mo 0.250 0.250 0.750
Pt1 Pt 0.250 0.250 0.250
```



A geometry-optimized CrGeMoRh2 structure. Source: the Alexandria database, functional GGA-PBE.

- Total magnetic moment: 2.84 μB per cell
- Calculated density: 6.9 g cm⁻³
- Uncorrected energy: -0.248 Ha/atom
- ΔE_f: 115.2 kJ/mol of atoms

The structure in CIF format:
```
data_CrGeMoRh2
_symmetry_space_group_name_H-M 'P 4/m m m'
_symmetry_Int_Tables_number 123
_symmetry_space_group_name_Hall '-P 4 2'
_cell_length_a 4.704
_cell_length_b 4.704
_cell_length_c 4.629
_cell_angle_alpha 90.00
_cell_angle_beta 90.00
_cell_angle_gamma 90.00
loop_
_atom_site_label
_atom_site_type_symbol
_atom_site_fract_x
_atom_site_fract_y
_atom_site_fract_z
Cr1 Cr 0.000 0.000 0.000
Ge1 Ge 0.500 0.500 0.000
Mo1 Mo 0.000 0.000 0.500
Rh1 Rh 0.000 0.500 0.500
```



A geometry-optimized CrSiGe2Mo structure. Source: the Alexandria database, functional GGA-PBE.

- Total magnetic moment: 0.07 μB per cell
- Calculated density: 5.4 g cm⁻³
- Formation energy (no corrections): 1165 meV per atom
- Uncorrected energy: -0.215 Ha/atom

The structure in CIF format:
```
data_CrSiGe2Mo
_symmetry_space_group_name_H-M 'P 4/m m m'
_symmetry_Int_Tables_number 123
_symmetry_space_group_name_Hall '-P 4 2'
_cell_length_a 4.705
_cell_length_b 4.705
_cell_length_c 4.444
_cell_angle_alpha 90.00
_cell_angle_beta 90.00
_cell_angle_gamma 90.00
loop_
_atom_site_label
_atom_site_type_symbol
_atom_site_fract_x
_atom_site_fract_y
_atom_site_fract_z
Cr1 Cr 0.000 0.000 0.000
Si1 Si 0.000 0.000 0.500
Ge1 Ge 0.000 0.500 0.500
Mo1 Mo 0.500 0.500 0.000
```



A geometry-optimized Cr2SiGeMo structure. Source: the Alexandria database, functional GGA-PBE.

- Total magnetic moment: 3.06 μB per cell
- Calculated density: 5.4 g cm⁻³
- Formation energy (no corrections): 1364 meV per atom
- Uncorrected energy: -0.245 Ha/atom

The structure in CIF format:
```
data_Cr2SiGeMo
_symmetry_space_group_name_H-M 'P 4/m m m'
_symmetry_Int_Tables_number 123
_symmetry_space_group_name_Hall '-P 4 2'
_cell_length_a 4.475
_cell_length_b 4.475
_cell_length_c 4.626
_cell_angle_alpha 90.00
_cell_angle_beta 90.00
_cell_angle_gamma 90.00
loop_
_atom_site_label
_atom_site_type_symbol
_atom_site_fract_x
_atom_site_fract_y
_atom_site_fract_z
Cr1 Cr 0.000 0.500 0.000
Si1 Si 0.000 0.000 0.500
Ge1 Ge 0.000 0.000 0.000
Mo1 Mo 0.500 0.500 0.500
```



A geometry-optimized CrTcGeMo structure. Source: the Alexandria database, functional GGA-PBE.

- Total magnetic moment: 4.41 μB per cell
- Calculated density: 9.3 g cm⁻³
- Uncorrected energy: -0.324 Ha/atom
- ΔE_f: 3.0 kJ/mol of atoms

The structure in CIF format:
```
data_CrTcGeMo
_symmetry_space_group_name_H-M 'F -4 3 m'
_symmetry_Int_Tables_number 216
_symmetry_space_group_name_Hall 'F -4 2 3'
_cell_length_a 6.095
_cell_length_b 6.095
_cell_length_c 6.095
_cell_angle_alpha 90.00
_cell_angle_beta 90.00
_cell_angle_gamma 90.00
loop_
_atom_site_label
_atom_site_type_symbol
_atom_site_fract_x
_atom_site_fract_y
_atom_site_fract_z
Cr1 Cr 0.000 0.000 0.000
Tc1 Tc 0.000 0.000 0.500
Ge1 Ge 0.250 0.250 0.250
Mo1 Mo 0.250 0.250 0.750
```



A geometry-optimized VCrGeMo structure. Source: the Alexandria database, functional GGA-PBE.

- Total magnetic moment: 9.32 μB per cell
- Calculated density: 8.1 g cm⁻³
- Uncorrected energy: -0.315 Ha/atom
- ΔE_f: -1.5 kJ/mol of atoms

The structure in CIF format:
```
data_VCrGeMo
_symmetry_space_group_name_H-M 'F -4 3 m'
_symmetry_Int_Tables_number 216
_symmetry_space_group_name_Hall 'F -4 2 3'
_cell_length_a 6.061
_cell_length_b 6.061
_cell_length_c 6.061
_cell_angle_alpha 90.00
_cell_angle_beta 90.00
_cell_angle_gamma 90.00
loop_
_atom_site_label
_atom_site_type_symbol
_atom_site_fract_x
_atom_site_fract_y
_atom_site_fract_z
V1 V 0.000 0.000 0.000
Cr1 Cr 0.000 0.000 0.500
Ge1 Ge 0.250 0.250 0.250
Mo1 Mo 0.250 0.250 0.750
```



A geometry-optimized ZnCr2GeMo structure. Source: the Alexandria database, functional GGA-PBE.

- Total magnetic moment: 5.22 μB per cell
- Calculated density: 5.8 g cm⁻³
- Uncorrected energy: -0.215 Ha/atom
- ΔE_f: 130.6 kJ/mol of atoms

The structure in CIF format:
```
data_ZnCr2GeMo
_symmetry_space_group_name_H-M 'P 4/m m m'
_symmetry_Int_Tables_number 123
_symmetry_space_group_name_Hall '-P 4 2'
_cell_length_a 4.525
_cell_length_b 4.525
_cell_length_c 4.690
_cell_angle_alpha 90.00
_cell_angle_beta 90.00
_cell_angle_gamma 90.00
loop_
_atom_site_label
_atom_site_type_symbol
_atom_site_fract_x
_atom_site_fract_y
_atom_site_fract_z
Zn1 Zn 0.000 0.000 0.000
Cr1 Cr 0.000 0.500 0.000
Ge1 Ge 0.500 0.500 0.500
Mo1 Mo 0.000 0.000 0.500
```



A geometry-optimized Cr2Ge2N structure. Source: the Alexandria database, functional GGA-PBE.

- Energy relative to the lowest polymorph listed for this composition: 4.359 eV per formula unit
- Total magnetic moment: 7.11 μB per cell
- Calculated density: 6.2 g cm⁻³
- Formation energy (no corrections): 1004 meV per atom
- Uncorrected energy: -0.234 Ha/atom

The structure in CIF format:
```
data_Cr2Ge2N
_symmetry_space_group_name_H-M 'I 4/m m m'
_symmetry_Int_Tables_number 139
_symmetry_space_group_name_Hall '-I 4 2'
_cell_length_a 3.373
_cell_length_b 3.373
_cell_length_c 12.358
_cell_angle_alpha 90.00
_cell_angle_beta 90.00
_cell_angle_gamma 90.00
loop_
_atom_site_label
_atom_site_type_symbol
_atom_site_fract_x
_atom_site_fract_y
_atom_site_fract_z
Cr1 Cr 0.000 0.000 0.093
Ge1 Ge 0.000 0.500 0.250
N1 N 0.000 0.000 0.500
```



A geometry-optimized CrGe2N structure. Source: the Alexandria database, functional GGA-PBE.

- Total magnetic moment: 0.33 μB per cell
- Calculated density: 6.1 g cm⁻³
- Formation energy (no corrections): 657 meV per atom
- Uncorrected energy: -0.226 Ha/atom

The structure in CIF format:
```
data_CrGe2N
_symmetry_space_group_name_H-M 'I -4 2 d'
_symmetry_Int_Tables_number 122
_symmetry_space_group_name_Hall 'I -4 2bw'
_cell_length_a 5.707
_cell_length_b 5.707
_cell_length_c 7.008
_cell_angle_alpha 90.00
_cell_angle_beta 90.00
_cell_angle_gamma 90.00
loop_
_atom_site_label
_atom_site_type_symbol
_atom_site_fract_x
_atom_site_fract_y
_atom_site_fract_z
Cr1 Cr 0.000 0.000 0.000
Ge1 Ge 0.184 0.250 0.625
N1 N 0.000 0.000 0.500
```



A geometry-optimized Cr2GeN structure. Source: the Alexandria database, functional GGA-PBE.

- Total magnetic moment: 1.91 μB per cell
- Calculated density: 6.9 g cm⁻³
- Formation energy (no corrections): -225 meV per atom
- Uncorrected energy: -0.304 Ha/atom

The structure in CIF format:
```
data_Cr2GeN
_symmetry_space_group_name_H-M 'R 3 m'
_symmetry_Int_Tables_number 160
_symmetry_space_group_name_Hall 'R 3 -2"'
_cell_length_a 2.9548
_cell_length_b 2.9548
_cell_length_c 18.1708
_cell_angle_alpha 90.00
_cell_angle_beta 90.00
_cell_angle_gamma 120.00
loop_
_atom_site_label
_atom_site_type_symbol
_atom_site_fract_x
_atom_site_fract_y
_atom_site_fract_z
Cr1 Cr 0.0000 0.0000 0.0000
Cr2 Cr 0.0000 0.0000 0.2232
Ge1 Ge 0.0000 0.0000 0.4459
N1 N 0.0000 0.0000 0.6136
```